First-principles (PBE with a Hubbard U) data for La2ZrWO after structural relaxation, as listed in Alexandria.

Lattice parameters (Å, degrees): 5.7604 4.9794 5.7604 90.00 90.00 90.00
Last column: magnetic moment on the atom in μB.
Sites, in units of the cell vectors:
La: 0.5000 0.0000 0.0000  0.06
Zr: 0.0000 0.5000 0.0000  -0.17
La: 0.0000 0.0000 0.5000  -0.03
O: 0.5000 0.5000 0.5000  -0.10
W: 0.0000 0.0000 0.0000  0.82

DFT total energy	-5.145	eV/atom
space-group type	P4/mmm (123)